(1)
This record from Alexandria via LeMat-Bulk describes a relaxed LiSm2Ru crystal. The functional is PBE.

a b c (Å): 5.0098 5.0098 5.0098
angles (deg): 60.00 60.00 60.00
Sites, in units of the cell vectors:
Li1 0.5000 0.5000 0.5000
Sm1 0.2500 0.2500 0.2500
Sm2 0.7500 0.7500 0.7500
Ru1 0.0000 0.0000 0.0000

Energy above the lowest structure with this stoichiometry = 0 meV per atom
E_tot = -21.40 eV per cell
SG = Fm-3m
DOS at the Fermi energy = 2.35 states/eV/cell
Calculated formation energy = -0.192 eV per atom

=====

(2)
This record from Alexandria via LeMat-Bulk describes a relaxed LiSmRu crystal. The functional is PBE.

a b c (Å): 3.5128 3.5128 5.2025
angles (deg): 109.73 109.73 90.00
Sites, in units of the cell vectors:
Li1 0.6406 0.6406 0.2812
Sm1 0.9405 0.9405 0.8809
Ru1 0.2689 0.2689 0.5379

Energy above the lowest structure with this stoichiometry = 23 meV per atom
E_tot = -15.83 eV per cell
SG = I4mm
DOS at the Fermi energy = 1.08 states/eV/cell
Calculated formation energy = 0.028 eV per atom

=====

(3)
This record from Alexandria via LeMat-Bulk describes a relaxed LiSm3Ru crystal. The functional is PBE.

a b c (Å): 5.4732 5.4732 5.4732
angles (deg): 90.00 90.00 90.00
Sites, in units of the cell vectors:
Sm1 0.5000 0.0000 0.0000
Sm2 0.0000 0.5000 0.0000
Sm3 0.0000 0.0000 0.5000
Li1 0.5000 0.5000 0.5000
Ru1 0.0000 0.0000 0.0000

Energy above the lowest structure with this stoichiometry = 43 meV per atom
E_tot = -25.32 eV per cell
SG = Pm-3m
DOS at the Fermi energy = 4.58 states/eV/cell
Calculated formation energy = 0.004 eV per atom

=====

What did the second record say?
This record from Alexandria via LeMat-Bulk describes a relaxed LiSmRu crystal. The functional is PBE.

a b c (Å): 3.5128 3.5128 5.2025
angles (deg): 109.73 109.73 90.00
Sites, in units of the cell vectors:
Li1 0.6406 0.6406 0.2812
Sm1 0.9405 0.9405 0.8809
Ru1 0.2689 0.2689 0.5379

Energy above the lowest structure with this stoichiometry = 23 meV per atom
E_tot = -15.83 eV per cell
SG = I4mm
DOS at the Fermi energy = 1.08 states/eV/cell
Calculated formation energy = 0.028 eV per atom

=====

- Look up the E_tot of the first one.
  -21.40 eV per cell

=====

- Among the records above, which one has the lowest E_tot?
  LiSm3Ru